[1]
A plane-wave DFT calculation with PBE was carried out for a relaxed structure of ReTeBr2.

Computed properties:
Energy above the most stable polymorph in this dataset (meV/atom): 454
D(E_F) (states/eV per cell): 9.25
Electronic total energy (eV per atom): -4.130
Total magnetization (μB per cell): 0.7

Unit cell a=3.1526 b=5.6572 c=11.1312 alpha=90.00 beta=90.00 gamma=90.00
Space group Cmm2 (No. 35)
Symmetry-distinct sites (fractional):
Re1 0.0000 0.0000 0.0000
Te1 0.0000 0.5000 0.1974
Br1 0.0000 0.0000 0.4996
Br2 0.0000 0.5000 0.8166

[2]
A plane-wave DFT calculation with PBE was carried out for a relaxed structure of CdOsAu2.

Computed properties:
D(E_F) (states/eV per cell): 7.81
DFT formation energy (eV/atom): 0.361
Electronic total energy (eV per atom): -4.314
Total magnetization (μB per cell): 1.0

Unit cell a=2.8888 b=2.8888 c=28.8194 alpha=90.00 beta=90.00 gamma=120.00
Space group R3m (No. 160, hexagonal axes)
Symmetry-distinct sites (fractional):
Cd1 0.0000 0.0000 0.0000
Os1 0.0000 0.0000 0.2509
Au1 0.0000 0.0000 0.5048
Au2 0.0000 0.0000 0.7530